SbRh3W | PBE-GGA | optimized geometry

Values from the calculation:
distance to the lowest polymorph of the same formula = 0.730 eV/atom
formation energy without anion corrections = 8.343 eV/f.u.
volume = 20.773 A^3/atom

Geometry as extended XYZ:
```
5
Lattice="-3.675 -1.866 -2.261 2.412 -3.985 -0.633 -1.665 -1.655 4.072" Properties=species:S:1:pos:R:3 pbc="T T T"
Sb 0.000 0.000 0.000
Rh 1.206 -1.992 -0.316
Rh -0.833 -0.828 2.036
Rh -1.837 -0.933 -1.131
W -1.464 -3.753 0.589
```